Entry 1:
Material: CaTl6Pb2
Method: DFT, PBE
State: optimized geometry Values from VASP.

```
&SYSTEM
  ibrav = 0, nat = 18, ntyp = 3
/
ATOMIC_SPECIES
Ca 40.08 Ca.upf
Tl 204.38 Tl.upf
Pb 207.20 Pb.upf
ATOMIC_POSITIONS angstrom
Ca 2.590 5.144 0.000
Ca 0.000 0.000 5.144
Tl 0.000 0.065 1.698
Tl 5.180 6.841 5.210
Tl 5.180 6.808 8.624
Tl 2.591 1.664 6.807
Tl 2.591 1.698 10.221
Tl 2.590 5.209 3.446
Tl 5.181 10.222 8.589
Tl 0.001 3.446 5.077
Tl 0.000 3.479 1.663
Tl 2.590 8.623 3.480
Tl 2.590 8.589 0.067
Tl 2.590 5.078 6.841
Pb 0.001 3.293 8.436
Pb 2.590 8.437 6.995
Pb 2.590 1.850 3.292
Pb 5.180 6.994 1.851
CELL_PARAMETERS angstrom
5.180 0.000 0.000
0.000 10.287 0.000
0.001 0.000 10.288
```

Values from the calculation:
Energy above the lowest structure with this stoichiometry ... 0 meV per atom

---

Entry 2:
Material: Ca2Tl6Pb
Method: DFT, PBE
State: optimized geometry Values from VASP.

```
&SYSTEM
  ibrav = 0, nat = 9, ntyp = 3
/
ATOMIC_SPECIES
Ca 40.08 Ca.upf
Tl 204.38 Tl.upf
Pb 207.20 Pb.upf
ATOMIC_POSITIONS angstrom
Ca 1.573 4.479 3.450
Ca 1.433 0.127 5.536
Tl 3.403 1.654 3.071
Tl 3.203 -2.699 6.051
Tl -0.398 2.953 5.915
Tl 1.793 2.839 0.180
Tl -0.197 7.305 2.935
Tl 1.213 1.767 8.806
Pb 0.000 0.000 0.000
CELL_PARAMETERS angstrom
3.594 0.000 0.242
-0.011 8.904 0.157
-0.577 -4.297 8.588
```

Values from the calculation:
Energy above the lowest structure with this stoichiometry ... 70 meV per atom

---

Entry 3:
Material: Ca2Tl3Pb3
Method: DFT, PBE
State: optimized geometry Values from VASP.

```
&SYSTEM
  ibrav = 0, nat = 8, ntyp = 3
/
ATOMIC_SPECIES
Ca 40.08 Ca.upf
Tl 204.38 Tl.upf
Pb 207.20 Pb.upf
ATOMIC_POSITIONS angstrom
Ca 0.000 0.000 7.285
Ca 0.000 0.000 2.417
Tl 2.486 2.451 7.291
Tl 2.486 2.451 2.411
Tl 2.486 0.000 0.000
Pb 2.486 0.000 4.851
Pb 0.000 2.451 0.000
Pb 0.000 2.451 4.851
CELL_PARAMETERS angstrom
4.973 0.000 0.000
0.000 4.902 0.000
0.000 0.000 9.702
```

Values from the calculation:
Energy above the lowest structure with this stoichiometry ... 0 meV per atom

---

Entry 4:
Material: CaTl6Pb
Method: DFT, PBE
State: optimized geometry Values from VASP.

```
&SYSTEM
  ibrav = 0, nat = 8, ntyp = 3
/
ATOMIC_SPECIES
Ca 40.08 Ca.upf
Tl 204.38 Tl.upf
Pb 207.20 Pb.upf
ATOMIC_POSITIONS angstrom
Ca 0.000 0.000 0.000
Tl 2.509 2.509 0.000
Tl 2.509 2.509 4.750
Tl 2.509 0.000 2.359
Tl 2.509 0.000 7.141
Tl 0.000 2.509 2.359
Tl 0.000 2.509 7.141
Pb 0.000 0.000 4.750
CELL_PARAMETERS angstrom
5.018 0.000 0.000
0.000 5.018 0.000
0.000 0.000 9.499
```

Values from the calculation:
Energy above the lowest structure with this stoichiometry ... 13 meV per atom

---

Entry 5:
Material: Ca4TlPb3
Method: DFT, PBE
State: optimized geometry Values from VASP.

```
&SYSTEM
  ibrav = 0, nat = 8, ntyp = 3
/
ATOMIC_SPECIES
Pb 207.20 Pb.upf
Ca 40.08 Ca.upf
Tl 204.38 Tl.upf
ATOMIC_POSITIONS angstrom
Pb 1.903 1.903 4.029
Pb 1.903 1.903 8.364
Pb 1.903 1.903 12.699
Ca 0.000 0.000 14.753
Ca 0.000 0.000 1.975
Ca 0.000 0.000 6.201
Ca 0.000 0.000 10.527
Tl 1.903 1.903 0.000
CELL_PARAMETERS angstrom
3.805 0.000 0.000
0.000 3.805 0.000
0.000 0.000 16.728
```

---

Entry 6:
Material: Ca2Tl8Pb
Method: DFT, PBE
State: optimized geometry Values from VASP.

```
&SYSTEM
  ibrav = 0, nat = 11, ntyp = 3
/
ATOMIC_SPECIES
Ca 40.08 Ca.upf
Tl 204.38 Tl.upf
Pb 207.20 Pb.upf
ATOMIC_POSITIONS angstrom
Ca 0.000 0.000 4.558
Ca 0.000 0.000 9.382
Tl 0.000 2.464 6.970
Tl 2.464 0.000 6.970
Tl 2.464 2.464 4.607
Tl 2.464 2.464 9.333
Tl 0.000 2.464 2.153
Tl 2.464 0.000 2.153
Tl 0.000 2.464 11.787
Tl 2.464 0.000 11.787
Pb 0.000 0.000 0.000
CELL_PARAMETERS angstrom
4.927 0.000 0.000
0.000 4.927 0.000
0.000 0.000 13.940
```

Values from the calculation:
Energy above the lowest structure with this stoichiometry ... 0 meV per atom

---

ΔE_f list, top to bottom, in meV/atom: -89 -121 -288 -95 -500 -128